# 1
DFT (PBE) results for a relaxed structure of SrCd2SnW.

The structure belongs to space group P4/mmm (No. 123); the cell edges are 5.411, 5.411 and 6.360 Å and the angles 90.00°, 90.00° and 90.00°. Symmetry generates all atoms from Sr at (0.000, 0.000, 0.000), Cd at (0.000, 0.500, 0.500), Sn at (0.000, 0.000, 0.500) and W at (0.500, 0.500, 0.000).

Its energy relative to the elements is 6.59 eV/f.u.

# 2
DFT (PBE) results for a relaxed structure of SrYCdSn.

The structure belongs to space group F-43m (No. 216); the cell edges are 7.770, 7.770 and 7.770 Å and the angles 90.00°, 90.00° and 90.00°. Symmetry generates all atoms from Sr at (0.000, 0.000, 0.000), Y at (0.000, 0.000, 0.500), Cd at (0.250, 0.250, 0.250) and Sn at (0.250, 0.250, 0.750).

Its energy relative to the elements is -1.81 eV/f.u.

# 3
DFT (PBE) results for a relaxed structure of Sr2Zn4Cd3Sn.

The structure belongs to space group P-4m2 (No. 115); the cell edges are 4.494, 4.494 and 11.970 Å and the angles 90.00°, 90.00° and 90.00°. Symmetry generates all atoms from Sr at (0.000, 0.500, 0.250), Zn at (0.000, 0.000, 0.000), Zn at (0.000, 0.500, 0.642), Zn at (0.500, 0.500, 0.000), Cd at (0.000, 0.500, 0.865), Cd at (0.500, 0.500, 0.500) and Sn at (0.000, 0.000, 0.500).

Its energy relative to the elements is -2.40 eV/f.u.

# 4
DFT (PBE) results for a relaxed structure of Sr2Zn3CdSn4.

The structure belongs to space group P-4m2 (No. 115); the cell edges are 4.723, 4.723 and 11.642 Å and the angles 90.00°, 90.00° and 90.00°. Symmetry generates all atoms from Sr at (0.000, 0.500, 0.249), Zn at (0.000, 0.500, 0.867), Zn at (0.500, 0.500, 0.500), Cd at (0.000, 0.000, 0.500), Sn at (0.000, 0.000, 0.000), Sn at (0.000, 0.500, 0.640) and Sn at (0.500, 0.500, 0.000).

Its energy relative to the elements is -3.48 eV/f.u.

# 5
DFT (PBE) results for a relaxed structure of Sr2ZnCd3Sn4.

The structure belongs to space group P-4m2 (No. 115); the cell edges are 4.837, 4.837 and 12.069 Å and the angles 90.00°, 90.00° and 90.00°. Symmetry generates all atoms from Sr at (0.000, 0.500, 0.239), Zn at (0.500, 0.500, 0.000), Cd at (0.000, 0.000, 0.000), Cd at (0.000, 0.500, 0.641), Sn at (0.000, 0.000, 0.500), Sn at (0.000, 0.500, 0.872) and Sn at (0.500, 0.500, 0.500).

Its energy relative to the elements is -3.19 eV/f.u.

# 6
DFT (PBE) results for a relaxed structure of SrZnCdSn.

The structure belongs to space group F-43m (No. 216); the cell edges are 7.460, 7.460 and 7.460 Å and the angles 90.00°, 90.00° and 90.00°. Symmetry generates all atoms from Sr at (0.000, 0.000, 0.000), Zn at (0.250, 0.250, 0.250), Cd at (0.250, 0.250, 0.750) and Sn at (0.000, 0.000, 0.500).

Its energy relative to the elements is -0.93 eV/f.u.